(1)
Hf2NbIr2 (PBE, optimized geometry); theoretical density = 13.92 g cm⁻³; crystal system = tetragonal; energy of formation = 0.015 eV/atom; energy above the most stable polymorph in this dataset = 572.6 meV per atom; M_tot = 0.0 μB/cell; calculated volume = 19.91 Å³/atom
1.0
-1.888 1.888 6.982
1.888 -1.888 6.982
1.888 1.888 -6.982
Hf Nb Ir
2 1 2
Cartesian
0.000 0.000 1.551
0.000 0.000 12.413
0.000 0.000 6.982
1.888 0.000 3.491
0.000 1.888 3.491

***

(2)
GdInNi (PBE, optimized geometry); theoretical density = 8.80 g cm⁻³; crystal system = tetragonal; energy of formation = -0.297 eV/atom; M_tot = 7.2 μB/cell; calculated volume = 20.80 Å³/atom
1.0
-1.655 1.655 5.697
1.655 -1.655 5.697
1.655 1.655 -5.697
Gd In Ni
1 1 1
Cartesian
0.000 0.000 0.000
0.000 0.000 8.147
0.000 0.000 3.929

***

(3)
Tl3VRu (PBE, optimized geometry); theoretical density = 9.19 g cm⁻³; crystal system = cubic; energy of formation = 1.365 eV/atom; energy above the most stable polymorph in this dataset = 475.7 meV per atom; M_tot = 2.5 μB/cell; calculated volume = 27.64 Å³/atom
1.0
5.170 0.000 0.000
0.000 5.170 0.000
0.000 0.000 5.170
Tl V Ru
3 1 1
Cartesian
0.000 0.000 2.585
0.000 2.585 0.000
2.585 0.000 0.000
0.000 0.000 0.000
2.585 2.585 2.585

***

(4)
MgTi5 (PBE, optimized geometry); theoretical density = 4.10 g cm⁻³; crystal system = hexagonal; energy of formation = 0.100 eV/atom; energy above the most stable polymorph in this dataset = 39.3 meV per atom; M_tot = 0.0 μB/cell; calculated volume = 17.78 Å³/atom
1.0
5.112 0.000 0.000
-2.556 4.427 0.000
0.000 0.000 4.714
Mg Ti
1 5
Cartesian
0.000 0.000 0.000
-1.701 2.946 2.357
0.000 2.951 0.000
0.855 1.481 2.357
3.401 0.000 2.357
2.556 1.476 0.000

***

(5)
Cs4Tl3PbCl8 (PBE, optimized geometry); theoretical density = 4.31 g cm⁻³; crystal system = monoclinic; M_tot = 1.0 μB/cell; final energy = -51.14 eV/cell; calculated volume = 39.37 Å³/atom
1.0
8.245 -4.698 0.000
8.245 4.698 0.000
-4.831 0.000 8.131
Cs Tl Pb Cl
4 3 1 8
Cartesian
0.000 0.000 0.000
1.707 2.349 4.065
1.707 -2.349 4.065
8.245 0.000 0.000
-2.415 0.000 4.065
4.123 2.349 0.000
4.123 -2.349 0.000
5.830 0.000 4.065
2.781 0.000 1.731
0.375 0.000 6.165
6.771 2.216 2.189
4.889 2.216 5.942
6.771 -2.216 2.189
4.889 -2.216 5.942
11.285 0.000 1.966
8.878 0.000 6.400

***

(6)
GaRe3S (PBE, optimized geometry); theoretical density = 13.27 g cm⁻³; crystal system = cubic; energy above the most stable polymorph in this dataset = 0.0 meV per atom; M_tot = 0.0 μB/cell; calculated volume = 16.53 Å³/atom
1.0
4.356 0.000 0.000
0.000 4.356 0.000
0.000 0.000 4.356
Ga Re S
1 3 1
Cartesian
0.000 0.000 0.000
0.000 2.178 2.178
2.178 0.000 2.178
2.178 2.178 0.000
2.178 2.178 2.178

***

(7)
MnMo3 (PBE, optimized geometry); theoretical density = 6.14 g cm⁻³; crystal system = trigonal; energy of formation = 1.423 eV/atom; M_tot = 0.0 μB/cell; calculated volume = 23.17 Å³/atom
1.0
5.696 3.289 0.825
-5.696 3.289 0.825
0.000 -6.577 0.825
Mn Mo
1 3
Cartesian
0.000 0.000 0.000
-4.516 1.245 0.825
1.180 -4.534 0.825
3.337 3.289 0.825

***

(8)
LiPr3Y3S8 (PBE, optimized geometry); theoretical density = 4.43 g cm⁻³; crystal system = trigonal; M_tot = 0.0 μB/cell; final energy = -98.41 eV/cell; calculated volume = 23.79 Å³/atom
1.0
3.964 2.288 6.556
-3.964 2.288 6.556
0.000 -4.577 6.556
Li Pr Y S
1 3 3 8
Cartesian
0.000 0.000 0.000
-3.964 0.000 9.834
-1.982 1.144 3.278
1.982 1.144 3.278
-1.982 -1.144 6.556
-1.982 1.144 13.112
0.000 2.288 6.556
0.000 -2.304 8.086
-1.995 1.152 8.086
-1.995 -1.152 11.581
0.000 0.000 5.012
0.000 0.000 14.655
1.995 1.152 8.086
1.995 -1.152 11.581
0.000 2.304 11.581